First-principles (PBE) data for DyErHg4 after structural relaxation, as listed in Alexandria.

Values from the calculation:
The formation energy is -175 meV/atom. For the distance to the lowest polymorph of the same formula, the calculation gives 212 meV per atom. The space group is No. 216. Its magnetization is 0.00 μB/atom.

Cell: 5.9349 5.9349 5.9349 Å, 60.00 60.00 60.00°
Last column: nearest neighbours and their distance in Å.
Sites, in units of the cell vectors:
Dy: 0.0000 0.0000 0.0000  12 Hg 3.48, 4 Er 3.63
Hg: 0.6250 0.6250 0.6250  6 Hg 2.97
Er: 0.2500 0.2500 0.2500  12 Hg 3.48, 4 Dy 3.63
Hg: 0.6250 0.1250 0.6250  6 Hg 2.97
Hg: 0.6250 0.6250 0.1250  6 Hg 2.97
Hg: 0.1250 0.6250 0.6250  6 Hg 2.97